# 1
Here is a geometry-optimized LiSb12Pd4 structure from Alexandria. Energies are from PBE.

Raw total energy = -4.50 eV/atom
ρ = 7.14 Mg/m³
Formation energy from raw total energies = -0.25 eV/atom
Symmetry = Im-3 (204)

Lattice parameters (Å, degrees): 8.300 8.300 8.300 109.47 109.47 109.47
Fractional coordinates of all 17 atoms:
Pd  0.500  0.500  0.500
Sb  0.657  0.812  0.154
Sb  0.846  0.657  0.503
Sb  0.497  0.154  0.343
Sb  0.846  0.343  0.188
Sb  0.188  0.846  0.343
Sb  0.657  0.503  0.846
Sb  0.343  0.497  0.154
Sb  0.154  0.343  0.497
Pd  0.000  0.000  0.500
Sb  0.503  0.846  0.657
Sb  0.343  0.188  0.846
Sb  0.812  0.154  0.657
Sb  0.154  0.657  0.812
Pd  0.000  0.500  0.000
Li  0.000  0.000  0.000
Pd  0.500  0.000  0.000

# 2
Here is a geometry-optimized LiSb2Pd structure from Alexandria. Energies are from PBE.

Raw total energy = -4.03 eV/atom
ρ = 5.76 Mg/m³
Formation energy from raw total energies = -0.20 eV/atom
Symmetry = R-3m (166)

Lattice parameters (Å, degrees): 3.667 3.667 9.086 78.36 78.36 60.00
Fractional coordinates of all 4 atoms:
Pd  0.500  0.500  0.500
Sb  0.103  0.103  0.692
Li  0.000  0.000  0.000
Sb  0.897  0.897  0.308

# 3
Here is a geometry-optimized LiSb2Pd structure from Alexandria. Energies are from PBE.

Raw total energy = -4.12 eV/atom
ρ = 6.07 Mg/m³
Formation energy from raw total energies = -0.28 eV/atom
Symmetry = I-42d (122)

Lattice parameters (Å, degrees): 8.965 8.965 6.790 48.68 48.68 90.00
Fractional coordinates of all 8 atoms:
Li  0.500  0.500  0.000
Sb  0.375  0.269  0.750
Li  0.250  0.750  0.500
Sb  0.731  0.125  0.250
Pd  0.750  0.250  0.500
Sb  0.875  0.981  0.750
Sb  0.019  0.625  0.250
Pd  0.000  0.000  0.000

# 4
Here is a geometry-optimized LiSb2Pd4 structure from Alexandria. Energies are from PBE.

Raw total energy = -4.82 eV/atom
ρ = 9.10 Mg/m³
Formation energy from raw total energies = -0.41 eV/atom
Symmetry = Fdd2 (43)

Lattice parameters (Å, degrees): 6.219 6.220 7.619 107.13 107.10 106.21
Fractional coordinates of all 14 atoms:
Li  0.939  0.061  0.000
Pd  0.065  0.287  0.437
Pd  0.300  0.521  0.229
Pd  0.713  0.936  0.563
Pd  0.957  0.678  0.728
Pd  0.479  0.700  0.772
Pd  0.400  0.123  0.937
Pd  0.877  0.599  0.063
Li  0.189  0.811  0.500
Pd  0.321  0.042  0.271
Sb  0.715  0.460  0.321
Sb  0.112  0.357  0.822
Sb  0.540  0.285  0.678
Sb  0.643  0.888  0.178

# 5
Here is a geometry-optimized LiScSbPd structure from Alexandria. Energies are from PBE.

Raw total energy = -5.11 eV/atom
ρ = 6.23 Mg/m³
Formation energy from raw total energies = -0.72 eV/atom
Symmetry = F-43m (216)

Lattice parameters (Å, degrees): 4.726 4.726 4.726 60.00 60.00 60.00
Fractional coordinates of all 4 atoms:
Sc  0.500  0.500  0.500
Pd  0.250  0.250  0.250
Sb  0.750  0.750  0.750
Li  0.000  0.000  0.000

# 6
Here is a geometry-optimized Li2Si2SbPd5 structure from Alexandria. Energies are from PBE.

Raw total energy = -5.03 eV/atom
ρ = 7.36 Mg/m³
Formation energy from raw total energies = -0.55 eV/atom
Symmetry = P4/mbm (127)

Lattice parameters (Å, degrees): 3.578 9.557 9.557 90.00 90.00 90.00
Fractional coordinates of all 20 atoms:
Pd  0.500  0.288  0.572
Pd  0.500  0.928  0.212
Pd  0.500  0.712  0.428
Pd  0.500  0.572  0.712
Pd  0.500  0.500  0.000
Si  0.000  0.123  0.623
Si  0.000  0.877  0.377
Pd  0.500  0.428  0.288
Si  0.000  0.377  0.123
Si  0.000  0.623  0.877
Pd  0.500  0.212  0.072
Sb  0.000  0.500  0.500
Sb  0.000  0.000  0.000
Pd  0.500  0.000  0.500
Pd  0.500  0.788  0.928
Li  0.000  0.673  0.173
Li  0.000  0.173  0.327
Pd  0.500  0.072  0.788
Li  0.000  0.327  0.827
Li  0.000  0.827  0.673

# 7
Here is a geometry-optimized LiSmSbPd structure from Alexandria. Energies are from PBE.

Raw total energy = -4.71 eV/atom
ρ = 7.94 Mg/m³
Formation energy from raw total energies = -0.72 eV/atom
Symmetry = F-43m (216)

Lattice parameters (Å, degrees): 4.850 4.850 4.850 60.00 60.00 60.00
Fractional coordinates of all 4 atoms:
Pd  0.500  0.500  0.500
Li  0.000  0.000  0.000
Sb  0.250  0.250  0.250
Sm  0.750  0.750  0.750

# 8
Here is a geometry-optimized SrLiSb2Pd5 structure from Alexandria. Energies are from PBE.

Raw total energy = -4.62 eV/atom
ρ = 7.40 Mg/m³
Formation energy from raw total energies = -0.42 eV/atom
Symmetry = P4/mmm (123)

Lattice parameters (Å, degrees): 4.774 4.774 8.567 90.00 90.00 90.00
Fractional coordinates of all 9 atoms:
Pd  0.500  0.500  0.500
Sb  0.500  0.500  0.168
Pd  0.000  0.500  0.285
Pd  0.500  0.000  0.285
Pd  0.000  0.500  0.715
Sb  0.500  0.500  0.832
Sr  0.000  0.000  0.500
Li  0.000  0.000  0.000
Pd  0.500  0.000  0.715

# 9
Here is a geometry-optimized Sr2LiSb4Pd3 structure from Alexandria. Energies are from PBE.

Raw total energy = -4.51 eV/atom
ρ = 6.80 Mg/m³
Formation energy from raw total energies = -0.77 eV/atom
Symmetry = P-4m2 (115)

Lattice parameters (Å, degrees): 4.678 4.678 11.039 90.00 90.00 90.00
Fractional coordinates of all 10 atoms:
Sr  0.500  0.000  0.258
Pd  0.500  0.000  0.873
Pd  0.000  0.000  0.500
Sb  0.000  0.500  0.369
Sb  0.500  0.500  0.000
Pd  0.000  0.500  0.127
Sb  0.000  0.000  0.000
Sr  0.000  0.500  0.742
Sb  0.500  0.000  0.631
Li  0.500  0.500  0.500

# 10
Here is a geometry-optimized SrLiSb2Pd structure from Alexandria. Energies are from PBE.

Raw total energy = -4.17 eV/atom
ρ = 6.07 Mg/m³
Formation energy from raw total energies = -0.77 eV/atom
Symmetry = I-4m2 (119)

Lattice parameters (Å, degrees): 4.587 4.587 6.630 110.24 110.24 90.00
Fractional coordinates of all 5 atoms:
Li  0.750  0.250  0.500
Sb  0.625  0.625  0.251
Sb  0.375  0.375  0.749
Pd  0.250  0.750  0.500
Sr  0.000  0.000  0.000

# 11
Here is a geometry-optimized Li2TaSbPd structure from Alexandria. Energies are from PBE.

Raw total energy = -3.89 eV/atom
ρ = 5.40 Mg/m³
Formation energy from raw total energies = 1.11 eV/atom
Symmetry = P4/mmm (123)

Lattice parameters (Å, degrees): 4.991 5.225 4.991 90.00 90.00 90.00
Each line ends with the local moment (μB).
Fractional coordinates of all 5 atoms:
Pd  0.500  0.500  0.500  -0.01
Ta  0.000  0.000  0.000  0.95
Li  0.000  0.000  0.500  0.06
Sb  0.000  0.500  0.000  -0.04
Li  0.500  0.000  0.000  0.09

# 12
Here is a geometry-optimized LiTbSb2Pd4 structure from Alexandria. Energies are from PBE.

Raw total energy = -5.16 eV/atom
ρ = 9.45 Mg/m³
Formation energy from raw total energies = -0.71 eV/atom
Symmetry = R-3m (166)

Lattice parameters (Å, degrees): 4.554 4.554 8.580 74.61 74.61 60.00
Fractional coordinates of all 8 atoms:
Pd  0.132  0.132  0.604
Pd  0.868  0.868  0.396
Pd  0.605  0.605  0.186
Sb  0.245  0.245  0.266
Pd  0.395  0.395  0.814
Tb  0.000  0.000  0.000
Li  0.500  0.500  0.500
Sb  0.755  0.755  0.734

# 13
Here is a geometry-optimized LiTbSbPd structure from Alexandria. Energies are from PBE.

Raw total energy = -4.68 eV/atom
ρ = 8.35 Mg/m³
Formation energy from raw total energies = -0.71 eV/atom
Symmetry = F-43m (216)

Lattice parameters (Å, degrees): 4.803 4.803 4.803 60.00 60.00 60.00
Fractional coordinates of all 4 atoms:
Tb  0.750  0.750  0.750
Li  0.000  0.000  0.000
Pd  0.500  0.500  0.500
Sb  0.250  0.250  0.250

# 14
Here is a geometry-optimized LiThSb2Pd4 structure from Alexandria. Energies are from PBE.

Raw total energy = -5.50 eV/atom
ρ = 9.94 Mg/m³
Formation energy from raw total energies = -0.71 eV/atom
Symmetry = R-3m (166)

Lattice parameters (Å, degrees): 4.520 4.520 8.967 75.40 75.40 60.00
Fractional coordinates of all 8 atoms:
Pd  0.601  0.601  0.196
Li  0.500  0.500  0.500
Pd  0.135  0.135  0.596
Pd  0.865  0.865  0.404
Sb  0.758  0.758  0.726
Pd  0.399  0.399  0.804
Sb  0.242  0.242  0.274
Th  0.000  0.000  0.000

# 15
Here is a geometry-optimized Li2TiSbPd structure from Alexandria. Energies are from PBE.

Raw total energy = -3.62 eV/atom
ρ = 4.36 Mg/m³
Formation energy from raw total energies = 0.59 eV/atom
Symmetry = P4/mmm (123)

Lattice parameters (Å, degrees): 4.871 4.650 4.871 90.00 90.00 90.00
Each line ends with the local moment (μB).
Fractional coordinates of all 5 atoms:
Sb  0.500  0.500  0.500  -0.07
Li  0.000  0.000  0.500  0.03
Li  0.500  0.000  0.000  0.04
Pd  0.000  0.500  0.000  -0.03
Ti  0.000  0.000  0.000  1.61

# 16
Here is a geometry-optimized Li2TlSbPd structure from Alexandria. Energies are from PBE.

Raw total energy = -2.87 eV/atom
ρ = 6.13 Mg/m³
Formation energy from raw total energies = 0.23 eV/atom
Symmetry = P4/mmm (123)

Lattice parameters (Å, degrees): 4.885 5.070 4.885 90.00 90.00 90.00
Fractional coordinates of all 5 atoms:
Li  0.500  0.000  0.000
Li  0.000  0.000  0.500
Pd  0.000  0.500  0.000
Tl  0.000  0.000  0.000
Sb  0.500  0.500  0.500

# 17
Here is a geometry-optimized LiY2SbPd structure from Alexandria. Energies are from PBE.

Raw total energy = -5.03 eV/atom
ρ = 4.59 Mg/m³
Formation energy from raw total energies = -0.20 eV/atom
Symmetry = P4/mmm (123)

Lattice parameters (Å, degrees): 5.399 5.120 5.399 90.00 90.00 90.00
Fractional coordinates of all 5 atoms:
Li  0.500  0.500  0.500
Y  0.500  0.000  0.000
Y  0.000  0.000  0.500
Pd  0.000  0.000  0.000
Sb  0.000  0.500  0.000

# 18
Here is a geometry-optimized LiZrSbPd structure from Alexandria. Energies are from PBE.

Raw total energy = -5.50 eV/atom
ρ = 7.15 Mg/m³
Formation energy from raw total energies = -0.56 eV/atom
Symmetry = F-43m (216)

Lattice parameters (Å, degrees): 4.751 4.751 4.751 60.00 60.00 60.00
Fractional coordinates of all 4 atoms:
Pd  0.250  0.250  0.250
Sb  0.750  0.750  0.750
Zr  0.500  0.500  0.500
Li  0.000  0.000  0.000

# 19
Here is a geometry-optimized LiSc3Pd2 structure from Alexandria. Energies are from PBE.

Raw total energy = -5.82 eV/atom
E_form = -0.60 eV/atom
ρ = 5.32 Mg/m³
Symmetry = P-3m1 (164)

Lattice parameters (Å, degrees): 4.698 4.698 11.573 90.00 90.00 120.00
Fractional coordinates of all 12 atoms:
Sc  0.667  0.333  0.078
Sc  0.333  0.667  0.418
Sc  0.000  0.000  0.245
Li  0.333  0.667  0.667
Sc  0.333  0.667  0.922
Pd  0.000  0.000  0.000
Li  0.667  0.333  0.333
Sc  0.000  0.000  0.755
Sc  0.667  0.333  0.582
Pd  0.333  0.667  0.178
Pd  0.667  0.333  0.822
Pd  0.000  0.000  0.500

# 20
Here is a geometry-optimized Li2ScPd3 structure from Alexandria. Energies are from PBE.

Raw total energy = -4.93 eV/atom
E_form = -0.64 eV/atom
ρ = 6.94 Mg/m³
Symmetry = P-3m1 (164)

Lattice parameters (Å, degrees): 4.406 4.406 5.382 90.00 90.00 120.00
Fractional coordinates of all 6 atoms:
Pd  0.000  0.000  0.500
Li  0.333  0.667  0.662
Sc  0.000  0.000  0.000
Pd  0.667  0.333  0.820
Pd  0.333  0.667  0.180
Li  0.667  0.333  0.338